# Ba2ScO3F, PBEsol geometry, DFT meta-GGA SCAN
data_Ba2ScO3F
_chemical_formula_sum 'Ba4 Sc2 O6 F2'
_space_group_name_H-M_alt 'I 4 m m'
_space_group_IT_number 107
_space_group_name_Hall 'I 4 -2'
_cell_length_a 4.131
_cell_length_b 4.131
_cell_length_c 13.508
_cell_angle_alpha 90.00
_cell_angle_beta 90.00
_cell_angle_gamma 90.00
loop_
_atom_site_label
_atom_site_fract_x
_atom_site_fract_y
_atom_site_fract_z
_atom_site_occupancy
Ba1 0.000 0.000 0.000 1
Ba2 0.000 0.000 0.275 1
Sc1 0.000 0.000 0.650 1
O1 0.000 0.000 0.799 1
O2 0.000 0.500 0.130 1
F1 0.000 0.000 0.471 1
# Total energy (eV/cell): -280.52

# ScTi2Ni, PBEsol geometry, DFT meta-GGA SCAN
data_ScTi2Ni
_chemical_formula_sum 'Sc4 Ti8 Ni4'
_space_group_name_H-M_alt 'F m -3 m'
_space_group_IT_number 225
_space_group_name_Hall '-F 4 2 3'
_cell_length_a 6.265
_cell_length_b 6.265
_cell_length_c 6.265
_cell_angle_alpha 90.00
_cell_angle_beta 90.00
_cell_angle_gamma 90.00
loop_
_atom_site_label
_atom_site_fract_x
_atom_site_fract_y
_atom_site_fract_z
_atom_site_occupancy
Sc1 0.000 0.000 0.000 1
Ti1 0.250 0.250 0.250 1
Ni1 0.000 0.000 0.500 1
# Total energy (eV/cell): -248.22

# Rb2NaTlBr6, PBEsol geometry, DFT meta-GGA SCAN
data_Rb2NaTlBr6
_chemical_formula_sum 'Rb8 Na4 Tl4 Br24'
_space_group_name_H-M_alt 'F m -3 m'
_space_group_IT_number 225
_space_group_name_Hall '-F 4 2 3'
_cell_length_a 11.108
_cell_length_b 11.108
_cell_length_c 11.108
_cell_angle_alpha 90.00
_cell_angle_beta 90.00
_cell_angle_gamma 90.00
loop_
_atom_site_label
_atom_site_fract_x
_atom_site_fract_y
_atom_site_fract_z
_atom_site_occupancy
Rb1 0.250 0.250 0.250 1
Na1 0.000 0.000 0.000 1
Tl1 0.000 0.000 0.500 1
Br1 0.000 0.000 0.255 1
# Total energy (eV/cell): -992.62

# CsSbTe2I, PBEsol geometry, DFT meta-GGA SCAN
data_CsSbTe2I
_chemical_formula_sum 'Cs1 Sb1 Te2 I1'
_space_group_name_H-M_alt 'P 4/m m m'
_space_group_IT_number 123
_space_group_name_Hall '-P 4 2'
_cell_length_a 5.965
_cell_length_b 5.965
_cell_length_c 5.883
_cell_angle_alpha 90.00
_cell_angle_beta 90.00
_cell_angle_gamma 90.00
loop_
_atom_site_label
_atom_site_fract_x
_atom_site_fract_y
_atom_site_fract_z
_atom_site_occupancy
Cs1 0.000 0.000 0.000 1
Sb1 0.500 0.500 0.000 1
Te1 0.000 0.500 0.500 1
I1 0.500 0.500 0.500 1
# Total energy (eV/cell): -185.27

# CaCu2W, PBEsol geometry, DFT meta-GGA SCAN
data_CaCu2W
_chemical_formula_sum 'Ca3 Cu6 W3'
_space_group_name_H-M_alt 'R 3 m'
_space_group_IT_number 160
_space_group_name_Hall 'R 3 -2"'
_cell_length_a 2.8341
_cell_length_b 2.8341
_cell_length_c 27.2355
_cell_angle_alpha 90.00
_cell_angle_beta 90.00
_cell_angle_gamma 120.00
loop_
_atom_site_label
_atom_site_fract_x
_atom_site_fract_y
_atom_site_fract_z
_atom_site_occupancy
Ca1 0.0000 0.0000 0.0000 1
Cu1 0.0000 0.0000 0.4922 1
Cu2 0.0000 0.0000 0.7564 1
W1 0.0000 0.0000 0.2359 1
# Excess energy over the best structure of this formula in the dataset (eV per atom): 0.333
# Total energy (eV/cell): -320.32

# Li2LaZr, PBEsol geometry, DFT meta-GGA SCAN
data_Li2LaZr
_chemical_formula_sum 'Li2 La1 Zr1'
_space_group_name_H-M_alt 'P 4/m m m'
_space_group_IT_number 123
_space_group_name_Hall '-P 4 2'
_cell_length_a 4.464
_cell_length_b 4.464
_cell_length_c 4.646
_cell_angle_alpha 90.00
_cell_angle_beta 90.00
_cell_angle_gamma 90.00
loop_
_atom_site_label
_atom_site_fract_x
_atom_site_fract_y
_atom_site_fract_z
_atom_site_occupancy
Li1 0.000 0.500 0.000 1
La1 0.000 0.000 0.500 1
Zr1 0.500 0.500 0.500 1
# Excess energy over the best structure of this formula in the dataset (eV per atom): 0.096
# Total energy (eV/cell): -77.07

# CdAsAuSe2, PBEsol geometry, DFT meta-GGA SCAN
data_CdAsAuSe2
_chemical_formula_sum 'Cd1 As1 Au1 Se2'
_space_group_name_H-M_alt 'P 4/m m m'
_space_group_IT_number 123
_space_group_name_Hall '-P 4 2'
_cell_length_a 5.113
_cell_length_b 5.113
_cell_length_c 4.819
_cell_angle_alpha 90.00
_cell_angle_beta 90.00
_cell_angle_gamma 90.00
loop_
_atom_site_label
_atom_site_fract_x
_atom_site_fract_y
_atom_site_fract_z
_atom_site_occupancy
Cd1 0.000 0.000 0.000 1
As1 0.500 0.500 0.000 1
Au1 0.500 0.500 0.500 1
Se1 0.000 0.500 0.500 1
# Total energy (eV/cell): -157.17

# PPb2W, PBEsol geometry, DFT meta-GGA SCAN
data_PPb2W
_chemical_formula_sum 'P2 Pb4 W2'
_space_group_name_H-M_alt 'I -4 m 2'
_space_group_IT_number 119
_space_group_name_Hall 'I -4 -2'
_cell_length_a 4.314
_cell_length_b 4.314
_cell_length_c 8.839
_cell_angle_alpha 90.00
_cell_angle_beta 90.00
_cell_angle_gamma 90.00
loop_
_atom_site_label
_atom_site_fract_x
_atom_site_fract_y
_atom_site_fract_z
_atom_site_occupancy
P1 0.000 0.000 0.000 1
Pb1 0.000 0.000 0.500 1
Pb2 0.000 0.500 0.250 1
W1 0.000 0.500 0.750 1
# Total energy (eV/cell): -453.31

# Li3HgPd, PBEsol geometry, DFT meta-GGA SCAN
data_Li3HgPd
_chemical_formula_sum 'Li3 Hg1 Pd1'
_space_group_name_H-M_alt 'P m -3 m'
_space_group_IT_number 221
_space_group_name_Hall '-P 4 2 3'
_cell_length_a 4.658
_cell_length_b 4.658
_cell_length_c 4.658
_cell_angle_alpha 90.00
_cell_angle_beta 90.00
_cell_angle_gamma 90.00
loop_
_atom_site_label
_atom_site_fract_x
_atom_site_fract_y
_atom_site_fract_z
_atom_site_occupancy
Li1 0.000 0.000 0.500 1
Hg1 0.500 0.500 0.500 1
Pd1 0.000 0.000 0.000 1
# Total energy (eV/cell): -108.59

# Y2MgRu, PBEsol geometry, DFT meta-GGA SCAN
data_Y2MgRu
_chemical_formula_sum 'Y4 Mg2 Ru2'
_space_group_name_H-M_alt 'A m m 2'
_space_group_IT_number 38
_space_group_name_Hall 'A 2 -2'
_cell_length_a 4.616
_cell_length_b 3.558
_cell_length_c 11.054
_cell_angle_alpha 90.00
_cell_angle_beta 90.00
_cell_angle_gamma 90.00
loop_
_atom_site_label
_atom_site_fract_x
_atom_site_fract_y
_atom_site_fract_z
_atom_site_occupancy
Y1 0.000 0.000 0.000 1
Y2 0.500 0.000 0.301 1
Mg1 0.000 0.000 0.715 1
Ru1 0.500 0.000 0.582 1
# Total energy (eV/cell): -191.87

# YCo2Ni, PBEsol geometry, DFT meta-GGA SCAN
data_YCo2Ni
_chemical_formula_sum 'Y3 Co6 Ni3'
_space_group_name_H-M_alt 'R 3 m'
_space_group_IT_number 160
_space_group_name_Hall 'R 3 -2"'
_cell_length_a 3.9213
_cell_length_b 3.9213
_cell_length_c 13.8400
_cell_angle_alpha 90.00
_cell_angle_beta 90.00
_cell_angle_gamma 120.00
loop_
_atom_site_label
_atom_site_fract_x
_atom_site_fract_y
_atom_site_fract_z
_atom_site_occupancy
Y1 0.0000 0.0000 0.0000 1
Co1 0.0000 0.0000 0.4886 1
Co2 0.0000 0.0000 0.8061 1
Ni1 0.0000 0.0000 0.2002 1
# Total energy (eV/cell): -237.42

# RbHg2Te, PBEsol geometry, DFT meta-GGA SCAN
data_RbHg2Te
_chemical_formula_sum 'Rb4 Hg8 Te4'
_space_group_name_H-M_alt 'F m -3 m'
_space_group_IT_number 225
_space_group_name_Hall '-F 4 2 3'
_cell_length_a 7.843
_cell_length_b 7.843
_cell_length_c 7.843
_cell_angle_alpha 90.00
_cell_angle_beta 90.00
_cell_angle_gamma 90.00
loop_
_atom_site_label
_atom_site_fract_x
_atom_site_fract_y
_atom_site_fract_z
_atom_site_occupancy
Rb1 0.000 0.000 0.000 1
Hg1 0.250 0.250 0.250 1
Te1 0.000 0.000 0.500 1
# Total energy (eV/cell): -783.14

# ScAg8, PBEsol geometry, DFT meta-GGA SCAN
data_ScAg8
_chemical_formula_sum 'Sc2 Ag16'
_space_group_name_H-M_alt 'I 4/m m m'
_space_group_IT_number 139
_space_group_name_Hall '-I 4 2'
_cell_length_a 8.658
_cell_length_b 8.658
_cell_length_c 4.084
_cell_angle_alpha 90.00
_cell_angle_beta 90.00
_cell_angle_gamma 90.00
loop_
_atom_site_label
_atom_site_fract_x
_atom_site_fract_y
_atom_site_fract_z
_atom_site_occupancy
Sc1 0.000 0.000 0.000 1
Ag1 0.000 0.334 0.000 1
Ag2 0.167 0.167 0.500 1
# Total energy (eV/cell): -531.49

# LiMg2Cd, PBEsol geometry, DFT meta-GGA SCAN
data_LiMg2Cd
_chemical_formula_sum 'Li1 Mg2 Cd1'
_space_group_name_H-M_alt 'P 4/m m m'
_space_group_IT_number 123
_space_group_name_Hall '-P 4 2'
_cell_length_a 3.441
_cell_length_b 3.441
_cell_length_c 6.691
_cell_angle_alpha 90.00
_cell_angle_beta 90.00
_cell_angle_gamma 90.00
loop_
_atom_site_label
_atom_site_fract_x
_atom_site_fract_y
_atom_site_fract_z
_atom_site_occupancy
Li1 0.000 0.000 0.000 1
Mg1 0.500 0.500 0.243 1
Cd1 0.000 0.000 0.500 1
# Total energy (eV/cell): -43.40

Let's list density in order: 5.571; 5.386; 4.254; 5.052; 9.230; 4.376; 7.146; 12.704; 5.386; 5.546; 7.176; 8.458; 9.850; 3.521 g cm⁻³.